No. 1
DyHo2O, optimized geometry, DFT PBE; E_form (uncorrected) = -0.822 eV per atom; symmetry = P4/mmm (123); energy relative to the lowest polymorph listed for this composition = 529 meV per atom; volume = 87.45 Å³/cell; D(E_F) = 1.232 states/eV/atom
1.0
3.1818 0.0000 0.0000
0.0000 3.1818 0.0000
0.0000 0.0000 8.6380
Ho O Dy
2 1 1
Cartesian
0.0000 0.0000 1.5298
0.0000 0.0000 7.1081
1.5909 1.5909 0.0000
1.5909 1.5909 4.3190

***

No. 2
DyHo2O4, optimized geometry, DFT PBE; E_form (uncorrected) = -3.235 eV per atom; symmetry = C2/m (12); volume = 105.59 Å³/cell; D(E_F) = 0.297 states/eV/atom
1.0
3.4198 0.0000 0.0000
0.0000 5.8331 -0.1429
-1.7099 -2.9829 5.3665
Dy O Ho
1 4 2
Cartesian
0.0000 0.0000 0.0000
1.7099 0.7149 1.5325
1.7099 -1.2530 3.8912
0.0000 4.1031 1.3325
0.0000 2.1353 3.6912
0.0000 -0.0454 3.1508
1.7099 2.8956 2.0729

***

No. 3
Dy2HoO4, optimized geometry, DFT PBE; E_form (uncorrected) = -3.226 eV per atom; symmetry = C2/m (12); volume = 105.60 Å³/cell; D(E_F) = 0.306 states/eV/atom
1.0
3.4369 0.0000 0.0000
0.0000 5.8625 -0.1589
-1.7185 -3.0117 5.3227
O Ho Dy
4 1 2
Cartesian
1.7185 -1.2786 3.8762
0.0000 4.1294 1.2876
0.0000 2.1497 3.6685
1.7185 0.7011 1.4953
0.0000 0.0000 0.0000
0.0000 -0.0526 3.1494
1.7184 2.9034 2.0144

***

No. 4
Dy2HoOsO8, optimized geometry, DFT PBE; E_form (uncorrected) = -2.545 eV per atom; symmetry = Cmmm (65); volume = 171.33 Å³/cell; D(E_F) = 0.184 states/eV/atom
1.0
5.0345 -0.0358 -0.0030
-0.0078 5.0359 -0.0056
0.0041 0.0075 6.7577
O Os Dy Ho
8 1 2 1
Cartesian
4.1172 0.8977 5.3298
4.1147 0.8932 1.4210
0.9136 4.1098 1.4193
0.9161 4.1143 5.3280
1.5438 1.5371 3.3761
3.7002 3.6870 6.7512
3.4871 3.4704 3.3730
1.3307 1.3206 -0.0021
0.0000 0.0000 0.0000
2.5163 2.5055 5.0398
2.5145 2.5020 1.7092
0.0021 0.0037 3.3788

***

No. 5
DyHoOsO6, optimized geometry, DFT PBE; E_form (uncorrected) = -2.384 eV per atom; symmetry = P-31c (163); volume = 246.66 Å³/cell; D(E_F) = 0.458 states/eV/atom
1.0
5.4701 0.0000 0.0000
-2.7350 4.7372 0.0000
0.0000 0.0000 9.5190
O Os Ho Dy
12 2 2 2
Cartesian
3.5646 0.1992 3.4773
-1.6098 3.1867 8.2368
-0.7802 1.7498 6.0417
4.3448 1.5506 1.2822
0.8296 4.5380 8.2368
1.9054 0.1992 1.2822
0.7802 1.7498 8.2368
1.9548 2.9875 1.2822
1.1252 1.5506 3.4773
1.6098 3.1867 6.0417
-0.8296 4.5380 6.0417
3.5153 2.9875 3.4773
2.7350 1.5791 2.3797
0.0000 3.1581 7.1392
2.7350 1.5791 7.1392
0.0000 3.1581 2.3797
0.0000 0.0000 4.7595
0.0000 0.0000 0.0000

***

No. 6
Rb3Dy2HoO6, optimized geometry, DFT PBE; E_form (uncorrected) = -2.702 eV per atom; symmetry = C2/m (12); volume = 209.45 Å³/cell; D(E_F) = 0.000 states/eV/atom
1.0
-0.4830 1.0171 -5.9667
-1.3470 -5.4699 2.2661
-5.6214 3.3607 2.0581
O Rb Dy Ho
6 3 2 1
Cartesian
-1.5378 -1.4879 0.8967
-1.2509 0.6661 -1.8369
-6.2004 -1.7581 0.1945
-5.1384 1.5540 0.6853
-2.3129 -2.6461 -2.3277
-5.9136 0.3958 -2.5391
-3.4376 1.6168 -3.5661
-3.7257 -0.5460 -0.8212
-4.0137 -2.7089 1.9237
-1.0590 -3.3076 -0.4781
-0.7710 -1.1452 -3.2225
0.0000 0.0000 0.0000

***

No. 7
DyHoSO2, optimized geometry, DFT PBE; E_form (uncorrected) = -3.078 eV per atom; symmetry = I4mm (107); volume = 84.58 Å³/cell; D(E_F) = 0.000 states/eV/atom
1.0
-1.0864 2.6494 2.4496
-0.3204 -2.6190 2.6905
6.3840 0.8815 -1.0206
O Ho Dy S
2 1 1 1
Cartesian
2.3028 1.7740 2.0011
2.6858 -0.8602 2.1215
3.2294 0.6360 3.6428
1.7344 0.2738 0.4731
-0.7015 0.0155 2.5706

***

No. 8
DyHoS2O, optimized geometry, DFT PBE; E_form (uncorrected) = -2.540 eV per atom; symmetry = P4/nmm (129); volume = 205.71 Å³/cell; D(E_F) = 0.171 states/eV/atom
1.0
-1.2991 3.3048 1.4958
-1.9573 0.6991 -3.2445
-10.9828 -6.6658 5.1891
Ho S Dy O
2 4 2 2
Cartesian
-2.0284 0.8155 1.3994
-10.5826 -5.4794 2.9153
-4.0018 -0.3822 2.3317
-8.6092 -4.2817 1.9830
-10.6440 -4.4136 5.4700
-1.9670 -0.2503 -1.1553
-7.0460 -2.2298 3.7701
-5.5649 -2.4340 0.5446
-5.4914 -3.3329 2.5945
-7.1196 -1.3309 1.7202

***

Look up the volume of the third one. 105.60 Å³/cell

***

Which value of D(E_F) does entry 4 give? 0.184 states/eV/atom

***

The highest volume belongs to which entry? DyHoOsO6

***

Which formula does entry 8 have? DyHoS2O